{"formula": "YNiIO2", "functional": "PBEsol", "state": "optimized geometry", "cell": [[-3.677, -1.801, 0.736], [-0.679, -0.288, -4.094], [2.776, -5.692, -0.060]], "species": ["Y", "Ni", "O", "O", "I"], "fractional_positions": [[0.000, 0.000, 0.000], [0.500, 0.500, 0.500], [0.500, 0.000, 0.000], [0.000, 0.500, 0.000], [0.000, 0.000, 0.500]], "formation_energy_uncorrected_mev_per_atom": -802, "crystal_system": "tetragonal", "mass_density_g_cm3": 4.64}

=====

{"formula": "Na3YSi2O7", "functional": "PBEsol", "state": "optimized geometry", "cell": [[9.419, 0.000, 0.000], [-4.709, 8.157, 0.000], [0.000, 0.000, 13.750]], "species": ["Si", "O", "Y", "Na", "O", "O", "Na", "Y", "Na", "O", "O", "Si", "Na", "O", "Na", "Y", "O", "O", "Na", "Na", "Y", "O", "Y", "Na", "O", "Na", "Si", "O", "Si", "Na", "O", "Y", "O", "Na", "O", "O", "O", "Si", "Na", "O", "Si", "O", "O", "Na", "O", "O", "O", "O", "O", "O", "Na", "O", "O", "O", "O", "Na", "O", "Si", "Na", "Si", "Si", "O", "Si", "O", "O", "O", "O", "Si", "O", "O", "O", "O", "Si", "O", "Na", "Na", "O", "O"], "fractional_positions": [[0.982, 0.654, 0.141], [0.198, 0.048, 0.639], [0.667, 0.333, 0.979], [0.318, 0.987, 0.412], [0.148, 0.200, 0.360], [0.850, 0.802, 0.639], [0.684, 0.015, 0.588], [0.000, 0.000, 0.250], [0.000, 0.000, 0.500], [0.516, 0.125, 0.878], [0.875, 0.392, 0.878], [0.328, 0.982, 0.641], [0.987, 0.669, 0.912], [0.875, 0.390, 0.621], [0.667, 0.333, 0.749], [0.333, 0.667, 0.018], [0.271, 0.828, 0.566], [0.392, 0.516, 0.378], [0.669, 0.682, 0.412], [0.316, 0.985, 0.088], [0.333, 0.667, 0.479], [0.729, 0.172, 0.066], [0.000, 0.000, 0.750], [0.669, 0.684, 0.088], [0.832, 0.562, 0.437], [0.331, 0.316, 0.588], [0.328, 0.982, 0.859], [0.125, 0.610, 0.121], [0.018, 0.346, 0.859], [0.985, 0.669, 0.588], [0.150, 0.198, 0.139], [0.667, 0.333, 0.518], [0.896, 0.581, 0.250], [0.331, 0.318, 0.912], [0.828, 0.557, 0.066], [0.484, 0.875, 0.378], [0.581, 0.685, 0.750], [0.346, 0.328, 0.359], [0.013, 0.331, 0.412], [0.443, 0.271, 0.066], [0.982, 0.654, 0.359], [0.315, 0.896, 0.750], [0.731, 0.168, 0.437], [0.667, 0.333, 0.228], [0.484, 0.875, 0.121], [0.948, 0.148, 0.860], [0.952, 0.150, 0.639], [0.852, 0.800, 0.860], [0.562, 0.731, 0.937], [0.200, 0.052, 0.860], [0.015, 0.331, 0.088], [0.168, 0.438, 0.937], [0.802, 0.952, 0.139], [0.438, 0.269, 0.437], [0.269, 0.832, 0.937], [0.333, 0.667, 0.249], [0.557, 0.729, 0.566], [0.654, 0.672, 0.641], [0.000, 0.000, 0.000], [0.672, 0.018, 0.141], [0.672, 0.018, 0.359], [0.052, 0.852, 0.360], [0.654, 0.672, 0.859], [0.104, 0.419, 0.750], [0.048, 0.850, 0.139], [0.608, 0.484, 0.878], [0.419, 0.315, 0.250], [0.018, 0.346, 0.641], [0.610, 0.484, 0.621], [0.125, 0.608, 0.378], [0.516, 0.125, 0.621], [0.685, 0.104, 0.250], [0.346, 0.328, 0.141], [0.800, 0.948, 0.360], [0.682, 0.013, 0.912], [0.333, 0.667, 0.728], [0.390, 0.516, 0.121], [0.172, 0.443, 0.566]], "formation_energy_uncorrected_mev_per_atom": -2694, "crystal_system": "hexagonal", "mass_density_g_cm3": 3.07}

=====

What did the first record say?
{"formula": "YNiIO2", "functional": "PBEsol", "state": "optimized geometry", "cell": [[-3.677, -1.801, 0.736], [-0.679, -0.288, -4.094], [2.776, -5.692, -0.060]], "species": ["Y", "Ni", "O", "O", "I"], "fractional_positions": [[0.000, 0.000, 0.000], [0.500, 0.500, 0.500], [0.500, 0.000, 0.000], [0.000, 0.500, 0.000], [0.000, 0.000, 0.500]], "formation_energy_uncorrected_mev_per_atom": -802, "crystal_system": "tetragonal", "mass_density_g_cm3": 4.64}

=====

Question: Number 2 is which compound?
Answer: Na3YSi2O7